# 1
! ZrNbOs2Ru | Alexandria via LeMat-Bulk | GGA-PBEsol | relaxed; values from VASP
&SYSTEM
  ibrav = 0, nat = 5, ntyp = 4
/
ATOMIC_SPECIES
Zr 91.22 Zr.upf
Nb 92.91 Nb.upf
Os 190.23 Os.upf
Ru 101.07 Ru.upf
CELL_PARAMETERS angstrom
4.619 0.000 0.000
0.000 4.619 0.000
0.000 0.000 4.820
ATOMIC_POSITIONS angstrom
Zr 0.000 0.000 0.000
Nb 0.000 0.000 2.410
Os 0.000 2.310 2.410
Os 2.310 0.000 2.410
Ru 2.310 2.310 0.000
! Energy relative to the elements, kJ/mol of atoms: 202.8
! SG: P4/mmm, No. 123
! Total energy, eV per atom: -8.8012



# 2
! NaInFeAg2 | Alexandria via LeMat-Bulk | GGA-PBEsol | relaxed; values from VASP
&SYSTEM
  ibrav = 0, nat = 5, ntyp = 4
/
ATOMIC_SPECIES
Na 22.99 Na.upf
In 114.82 In.upf
Fe 55.84 Fe.upf
Ag 107.87 Ag.upf
CELL_PARAMETERS angstrom
5.059 0.000 0.000
0.000 5.059 0.000
0.000 0.000 5.277
ATOMIC_POSITIONS angstrom
Na 0.000 0.000 0.000
In 0.000 0.000 2.639
Fe 2.529 2.529 0.000
Ag 0.000 2.529 2.639
Ag 2.529 0.000 2.639
! Energy relative to the elements, kJ/mol of atoms: 117.4
! SG: P4/mmm, No. 123
! Total energy, eV per atom: -2.7769



# 3
! ScZn4Rh | Alexandria via LeMat-Bulk | GGA-PBEsol | relaxed; values from VASP
&SYSTEM
  ibrav = 0, nat = 6, ntyp = 3
/
ATOMIC_SPECIES
Sc 44.96 Sc.upf
Zn 65.41 Zn.upf
Rh 102.91 Rh.upf
CELL_PARAMETERS angstrom
0.000 3.483 3.483
3.483 0.000 3.483
3.483 3.483 0.000
ATOMIC_POSITIONS angstrom
Sc 0.000 0.000 0.000
Zn 4.349 2.617 2.617
Zn 2.617 4.349 2.617
Zn 2.617 2.617 4.349
Zn 4.349 4.349 4.349
Rh 1.741 1.741 1.741
! Energy relative to the elements, kJ/mol of atoms: -48.1
! SG: F-43m, No. 216
! Total energy, eV per atom: -4.0104



# 4
! Ho2Ge2Os | Alexandria via LeMat-Bulk | GGA-PBEsol | relaxed; values from VASP
&SYSTEM
  ibrav = 0, nat = 10, ntyp = 3
/
ATOMIC_SPECIES
Ho 164.93 Ho.upf
Ge 72.64 Ge.upf
Os 190.23 Os.upf
CELL_PARAMETERS angstrom
5.313 -2.119 0.000
5.313 2.119 0.000
-4.701 0.000 8.785
ATOMIC_POSITIONS angstrom
Ho -0.776 0.000 1.542
Ho -0.938 0.000 5.399
Ho 6.862 0.000 3.385
Ho 6.700 0.000 7.242
Ge -0.598 0.000 8.239
Ge 2.243 0.000 5.484
Ge 3.682 0.000 3.301
Ge 6.522 0.000 0.546
Os 2.259 0.000 1.154
Os 3.666 0.000 7.631
! Energy relative to the elements, kJ/mol of atoms: -71.7
! SG: C2/m, No. 12
! Total energy, eV per atom: -7.1418



# 5
! Ir2W | Alexandria via LeMat-Bulk | GGA-PBEsol | relaxed; values from VASP
&SYSTEM
  ibrav = 0, nat = 6, ntyp = 2
/
ATOMIC_SPECIES
Ir 192.22 Ir.upf
W 183.84 W.upf
CELL_PARAMETERS angstrom
4.138 -2.414 0.000
4.138 2.414 0.000
0.000 0.000 4.348
ATOMIC_POSITIONS angstrom
Ir 1.401 0.788 1.087
Ir 1.401 -0.788 3.261
Ir 6.875 0.788 1.087
Ir 6.875 -0.788 3.261
W 4.138 0.832 1.087
W 4.138 -0.832 3.261
! Energy relative to the elements, kJ/mol of atoms: -29.6
! SG: Cmcm, No. 63
! Total energy, eV per atom: -11.4583



# 6
! Ag2IBr | Alexandria via LeMat-Bulk | GGA-PBEsol | relaxed; values from VASP
&SYSTEM
  ibrav = 0, nat = 4, ntyp = 3
/
ATOMIC_SPECIES
Ag 107.87 Ag.upf
I 126.90 I.upf
Br 79.90 Br.upf
CELL_PARAMETERS angstrom
0.000 3.607 3.607
3.607 0.000 3.607
3.607 3.607 0.000
ATOMIC_POSITIONS angstrom
Ag 1.803 1.803 1.803
Ag 5.410 5.410 5.410
I 0.000 0.000 0.000
Br 3.607 3.607 3.607
! Uncorrected formation energy, eV per atom: 0.04
! Energy above the lowest structure with this stoichiometry, eV per atom: 0.259
! SG: Fm-3m, No. 225
! Total energy, eV per atom: -2.5257



Q: Look up the total energy of the second one.
A: -2.7769 eV per atom